Compound: Rb2NdDyO4
Source: Alexandria
Functional: PBE-GGA
Structure: optimized geometry

Values from the calculation:
E_tot (eV per atom): -6.51
Space group: P2/m
Volume (Å³ per cell): 147.3
Formation energy from raw total energies (eV/atom): -2.62
D(E_F) (states/eV/cell): 0.00

abc: 6.221 3.592 6.905
angles: 90.00 107.41 90.00
Sites, in units of the cell vectors:
Rb: 0.000 0.000 0.000
Rb: 0.500 0.500 0.000
Nd: 0.000 0.500 0.500
Dy: 0.500 0.000 0.500
O: 0.236 0.000 0.679
O: 0.283 0.500 0.323
O: 0.717 0.500 0.677
O: 0.764 0.000 0.321


Compound: Sc4Sb2H
Source: Alexandria
Functional: PBE-GGA
Structure: optimized geometry

Values from the calculation:
E_tot (eV per atom): -6.03
Space group: I4/mmm
Volume (Å³ per cell): 139.6
Energy relative to the lowest polymorph listed for this composition (meV/atom): 0
D(E_F) (states/eV/cell): 7.20

abc: 8.410 8.410 8.410
angles: 150.99 150.99 41.49
Sites, in units of the cell vectors:
Sc: 0.000 0.500 0.500
Sc: 0.175 0.175 0.000
Sc: 0.500 0.000 0.500
Sc: 0.825 0.825 0.000
Sb: 0.362 0.362 0.000
Sb: 0.638 0.638 0.000
H: 0.000 0.000 0.000


Compound: Na2NpSe4
Source: Alexandria
Functional: PBE-GGA
Structure: optimized geometry

Values from the calculation:
E_tot (eV per atom): -5.09
Space group: Imma
Volume (Å³ per cell): 438.6
Formation energy from raw total energies (eV/atom): -0.87
D(E_F) (states/eV/cell): 13.69

abc: 8.696 8.696 8.696
angles: 124.72 122.00 84.29
Sites, in units of the cell vectors:
Na: 0.000 0.000 0.500
Na: 0.000 0.500 0.000
Na: 0.395 0.145 0.250
Na: 0.605 0.855 0.750
Np: 0.000 0.500 0.500
Np: 0.500 0.500 0.000
Se: 0.203 0.703 0.501
Se: 0.247 0.276 0.529
Se: 0.247 0.719 0.971
Se: 0.298 0.297 0.001
Se: 0.702 0.703 0.999
Se: 0.753 0.281 0.029
Se: 0.753 0.724 0.471
Se: 0.797 0.297 0.499


Compound: Pm4In3Pd
Source: Alexandria
Functional: PBE-GGA
Structure: optimized geometry

Values from the calculation:
E_tot (eV per atom): -4.61
Space group: P4/mmm
Volume (Å³ per cell): 217.4
DFT formation energy (meV/atom): -560
D(E_F) (states/eV/cell): 5.07

abc: 3.650 3.650 16.314
angles: 90.00 90.00 90.00
Sites, in units of the cell vectors:
Pm: 0.000 0.000 0.108
Pm: 0.000 0.000 0.369
Pm: 0.000 0.000 0.631
Pm: 0.000 0.000 0.892
In: 0.500 0.500 0.239
In: 0.500 0.500 0.500
In: 0.500 0.500 0.761
Pd: 0.500 0.500 0.000


Compound: RbCaCl3
Source: Alexandria
Functional: PBE-GGA
Structure: optimized geometry

Values from the calculation:
E_tot (eV per atom): -3.85
Space group: P2_1/m
Volume (Å³ per cell): 319.9
Formation energy from raw total energies (eV/atom): -2.15
D(E_F) (states/eV/cell): 0.00

abc: 3.805 9.800 8.577
angles: 90.00 90.22 90.00
Sites, in units of the cell vectors:
Rb: 0.230 0.250 0.118
Rb: 0.770 0.750 0.882
Ca: 0.238 0.250 0.664
Ca: 0.762 0.750 0.336
Cl: 0.260 0.581 0.191
Cl: 0.260 0.919 0.191
Cl: 0.264 0.750 0.568
Cl: 0.736 0.250 0.432
Cl: 0.740 0.081 0.809
Cl: 0.740 0.419 0.809